{"formula": "Ac5Ir3Pb3", "functional": "PBE", "state": "relaxed", "lattice_angstrom": [[9.461, 0.000, 0.000], [-4.730, 8.193, 0.000], [0.000, 0.000, 5.058]], "species": ["Ac", "Ac", "Ac", "Ac", "Ac", "Ir", "Ir", "Ir", "Pb", "Pb", "Pb"], "frac_coords": [[0.000, 0.238, 0.000], [0.238, 0.000, 0.000], [0.333, 0.667, 0.000], [0.667, 0.333, 0.000], [0.762, 0.762, 0.000], [0.000, 0.655, 0.000], [0.345, 0.345, 0.000], [0.655, 0.000, 0.000], [0.000, 0.548, 0.500], [0.452, 0.452, 0.500], [0.548, 0.000, 0.500]], "e_tot_ev_per_atom": -5.545, "m_tot_mub_per_cell": 0.002}


{"formula": "NaCr", "functional": "PBE", "state": "relaxed", "lattice_angstrom": [[8.786, 0.000, 0.000], [0.000, 8.786, 0.000], [0.000, 0.000, 8.786]], "species": ["Na", "Na", "Na", "Na", "Na", "Na", "Cr", "Cr", "Cr", "Cr", "Cr", "Cr"], "frac_coords": [[0.000, 0.250, 0.500], [0.000, 0.750, 0.500], [0.250, 0.500, 0.000], [0.500, 0.000, 0.250], [0.500, 0.000, 0.750], [0.750, 0.500, 0.000], [0.000, 0.500, 0.250], [0.000, 0.500, 0.750], [0.250, 0.000, 0.500], [0.500, 0.250, 0.000], [0.500, 0.750, 0.000], [0.750, 0.000, 0.500]], "polymorph_energy_ev_per_atom": 0.904, "e_tot_ev_per_atom": -3.780, "m_tot_mub_per_cell": 31.139}


{"formula": "EuTa3O9", "functional": "PBE", "state": "relaxed", "lattice_angstrom": [[8.378, -2.791, 0.000], [8.378, 2.791, 0.000], [-5.590, 0.000, 7.967]], "species": ["Eu", "Eu", "Ta", "Ta", "Ta", "Ta", "Ta", "Ta", "O", "O", "O", "O", "O", "O", "O", "O", "O", "O", "O", "O", "O", "O", "O", "O", "O", "O"], "frac_coords": [[0.170, 0.170, 0.001], [0.830, 0.830, 0.999], [0.084, 0.084, 0.250], [0.248, 0.248, 0.736], [0.423, 0.423, 0.258], [0.577, 0.577, 0.742], [0.752, 0.752, 0.264], [0.916, 0.916, 0.750], [0.000, 0.000, 0.000], [0.075, 0.575, 0.226], [0.076, 0.594, 0.767], [0.164, 0.164, 0.497], [0.231, 0.750, 0.232], [0.250, 0.769, 0.768], [0.325, 0.325, 0.000], [0.406, 0.924, 0.233], [0.425, 0.925, 0.774], [0.500, 0.500, 0.500], [0.575, 0.075, 0.226], [0.594, 0.076, 0.767], [0.675, 0.675, 0.000], [0.750, 0.231, 0.232], [0.769, 0.250, 0.768], [0.836, 0.836, 0.503], [0.924, 0.406, 0.233], [0.925, 0.425, 0.774]], "e_form_raw_ev_per_atom": -2.87, "e_tot_ev_per_atom": -9.830, "m_tot_mub_per_cell": 11.948}


{"formula": "MnAl2Ag", "functional": "PBE", "state": "relaxed", "lattice_angstrom": [[3.336, 0.000, 0.000], [0.000, 3.336, 0.000], [0.000, 0.000, 5.636]], "species": ["Mn", "Al", "Al", "Ag"], "frac_coords": [[0.000, 0.000, 0.000], [0.000, 0.000, 0.518], [0.500, 0.500, 0.792], [0.500, 0.500, 0.282]], "polymorph_energy_ev_per_atom": 0.164, "e_tot_ev_per_atom": -4.872, "m_tot_mub_per_cell": 3.248}


{"formula": "LiScNiPd", "functional": "PBE", "state": "relaxed", "lattice_angstrom": [[6.231, 0.000, 0.000], [0.000, 6.231, 0.000], [0.000, 0.000, 6.231]], "species": ["Li", "Li", "Li", "Li", "Sc", "Sc", "Sc", "Sc", "Ni", "Ni", "Ni", "Ni", "Pd", "Pd", "Pd", "Pd"], "frac_coords": [[0.000, 0.000, 0.000], [0.000, 0.500, 0.500], [0.500, 0.000, 0.500], [0.500, 0.500, 0.000], [0.000, 0.000, 0.500], [0.000, 0.500, 0.000], [0.500, 0.000, 0.000], [0.500, 0.500, 0.500], [0.250, 0.250, 0.250], [0.250, 0.750, 0.750], [0.750, 0.250, 0.750], [0.750, 0.750, 0.250], [0.250, 0.250, 0.750], [0.250, 0.750, 0.250], [0.750, 0.250, 0.250], [0.750, 0.750, 0.750]], "e_tot_ev_per_atom": -5.263, "m_tot_mub_per_cell": 0.000}


{"formula": "BaZnCd2", "functional": "PBE", "state": "relaxed", "lattice_angstrom": [[3.931, 0.000, 0.000], [0.000, 3.931, 0.000], [0.000, 0.000, 7.451]], "species": ["Ba", "Zn", "Cd", "Cd"], "frac_coords": [[0.000, 0.000, 0.000], [0.500, 0.500, 0.708], [0.000, 0.000, 0.526], [0.500, 0.500, 0.319]], "e_tot_ev_per_atom": -1.355, "m_tot_mub_per_cell": 0.000}